1.
This record from the Alexandria database describes crystalline Ac8Ru3Br3F at its relaxed geometry. The functional is GGA-PBE.

Cell lengths 14.9305, 8.6089, 9.5734 Å; angles 90.00, 121.36, 90.00 degrees
Space group C2/m (No. 12)
Symmetry-distinct sites (fractional):
Ac: 0.0205 0.2420 0.3035 [8 per cell]
Ac: 0.2332 0.0000 0.6994 [4 per cell]
Ac: 0.2383 0.5000 0.6969 [4 per cell]
Ru: 0.0000 0.0000 0.5000 [2 per cell]
Ru: 0.2500 0.2500 0.5000 [4 per cell]
Br: 0.0000 0.5000 0.0000 [2 per cell]
Br: 0.2500 0.2500 0.0000 [4 per cell]
F: 0.0000 0.5000 0.5000 [2 per cell]

DOS(E_F) = 17.209 states/eV/cell
calculated total energy = -5.4575 eV per atom
total magnetization = 0.000 μB/f.u.
V = 1050.8 Å³ per cell
raw formation energy = -0.952 eV/atom


2.
This record from the Alexandria database describes crystalline Ac2SeBrF2 at its relaxed geometry. The functional is GGA-PBE.

Cell lengths 4.3507, 4.3507, 8.7988 Å; angles 90.00, 90.00, 120.00 degrees
Space group P-3m1 (No. 164)
Symmetry-distinct sites (fractional):
Ac: 0.3333 0.6667 0.2223 [2 per cell]
Se: 0.0000 0.0000 0.0000 [1 per cell]
Br: 0.0000 0.0000 0.5000 [1 per cell]
F: 0.3333 0.6667 0.7337 [2 per cell]

DOS(E_F) = 2.723 states/eV/cell
calculated total energy = -5.6982 eV per atom
total magnetization = 0.000 μB/f.u.
V = 144.2 Å³ per cell
raw formation energy = -2.845 eV/atom


3.
This record from the Alexandria database describes crystalline AcThBr2F6 at its relaxed geometry. The functional is GGA-PBE.

Cell lengths 6.3205, 6.7119, 6.7199 Å; angles 63.76, 62.06, 62.03 degrees
Space group P-1 (No. 2)
Symmetry-distinct sites (fractional):
Ac: 0.0000 0.0000 0.0000 [1 per cell]
Th: 0.5000 0.5000 0.5000 [1 per cell]
Br: 0.3450 0.1536 0.1550 [2 per cell]
F: 0.2189 0.3011 0.6991 [2 per cell]
F: 0.2206 0.6975 0.2995 [2 per cell]
F: 0.2612 0.7394 0.7383 [2 per cell]

calculated total energy = -5.9599 eV per atom
total magnetization = 0.999 μB/f.u.
V = 213.2 Å³ per cell
raw formation energy = -3.350 eV/atom


4.
This record from the Alexandria database describes crystalline AcZnBrF4 at its relaxed geometry. The functional is GGA-PBE.

Cell lengths 11.2440, 7.7419, 7.4706 Å; angles 90.00, 106.17, 90.00 degrees
Space group C2/m (No. 12)
Symmetry-distinct sites (fractional):
Ac: 0.2303 0.0000 0.1251 [4 per cell]
Zn: 0.1309 0.5000 0.2732 [4 per cell]
Br: 0.0138 0.0000 0.7544 [4 per cell]
F: 0.0451 0.5000 0.8003 [4 per cell]
F: 0.1984 0.3206 0.1359 [8 per cell]
F: 0.2026 0.5000 0.5352 [4 per cell]

DOS(E_F) = 0.000 states/eV/cell
calculated total energy = -5.0327 eV per atom
total magnetization = 0.000 μB/f.u.
V = 624.6 Å³ per cell
raw formation energy = -2.955 eV/atom


5.
This record from the Alexandria database describes crystalline Ac7FeBr12 at its relaxed geometry. The functional is GGA-PBE.

Cell lengths 16.1194, 16.1194, 11.6646 Å; angles 90.00, 90.00, 120.00 degrees
Space group R-3 (No. 148, hexagonal axes)
Symmetry-distinct sites (fractional):
Ac: 0.0000 0.0000 0.0000 [3 per cell]
Ac: 0.0333 0.8714 0.3603 [18 per cell]
Fe: 0.0000 0.0000 0.5000 [3 per cell]
Br: 0.0220 0.4440 0.1520 [18 per cell]
Br: 0.0363 0.8748 0.8339 [18 per cell]

DOS(E_F) = 29.970 states/eV/cell
calculated total energy = -4.4549 eV per atom
total magnetization = 1.071 μB/f.u.
V = 2624.8 Å³ per cell
raw formation energy = -1.590 eV/atom


6.
This record from the Alexandria database describes crystalline Ac4FeBr5 at its relaxed geometry. The functional is GGA-PBE.

Cell lengths 19.6876, 4.3433, 9.3521 Å; angles 90.00, 105.79, 90.00 degrees
Space group C2/m (No. 12)
Symmetry-distinct sites (fractional):
Ac: 0.0013 0.0000 0.2813 [4 per cell]
Ac: 0.1453 0.5000 0.5916 [4 per cell]
Fe: 0.0000 0.5000 0.5000 [2 per cell]
Br: 0.0000 0.5000 0.0000 [2 per cell]
Br: 0.1673 0.0000 0.8483 [4 per cell]
Br: 0.1746 0.0000 0.3557 [4 per cell]

DOS(E_F) = 11.680 states/eV/cell
calculated total energy = -4.6143 eV per atom
total magnetization = 0.001 μB/f.u.
V = 769.5 Å³ per cell
raw formation energy = -1.288 eV/atom


7.
This record from the Alexandria database describes crystalline AcFe2Br8 at its relaxed geometry. The functional is GGA-PBE.

Cell lengths 14.4149, 9.3152, 6.9096 Å; angles 90.00, 95.00, 90.00 degrees
Space group C2/m (No. 12)
Symmetry-distinct sites (fractional):
Ac: 0.0000 0.0000 0.0000 [2 per cell]
Fe: 0.1853 0.0000 0.6354 [4 per cell]
Br: 0.0994 0.2076 0.7451 [8 per cell]
Br: 0.1626 0.5000 0.2326 [4 per cell]
Br: 0.1775 0.0000 0.2830 [4 per cell]

DOS(E_F) = 12.062 states/eV/cell
calculated total energy = -4.1235 eV per atom
total magnetization = 9.000 μB/f.u.
V = 924.3 Å³ per cell
raw formation energy = -0.995 eV/atom


8.
This record from the Alexandria database describes crystalline AcFeBr2 at its relaxed geometry. The functional is GGA-PBE.

Cell lengths 3.9231, 3.9231, 27.4605 Å; angles 90.00, 90.00, 120.00 degrees
Space group R-3m (No. 166, hexagonal axes)
Symmetry-distinct sites (fractional):
Ac: 0.0000 0.0000 0.0000 [3 per cell]
Fe: 0.0000 0.0000 0.5000 [3 per cell]
Br: 0.0000 0.0000 0.1150 [6 per cell]

DOS(E_F) = 14.181 states/eV/cell
calculated total energy = -4.2491 eV per atom
total magnetization = 2.638 μB/f.u.
V = 366.0 Å³ per cell
raw formation energy = -0.270 eV/atom